## ScMn2Pd2 (GGA-PBEsol)

Data for crystalline ScMn2Pd2 at its relaxed geometry.

Properties
Calculated formation energy, eV/atom: -0.029
Spin magnetization, μB/f.u.: 0.00

a = 3.2024 Å, b = 3.2024 Å, c = 14.1679 Å
α = 90.00°, β = 90.00°, γ = 90.00°
Closest atoms and distances in Å follow each position.
Space group I4/mmm (No. 139)
Symmetry-distinct sites (fractional):
Sc1 0.0000 0.0000 0.0000 [2 per cell]  8 Pd 2.68
Mn1 0.0000 0.5000 0.2500 [4 per cell]  4 Mn 2.26
Pd1 0.0000 0.0000 0.3982 [4 per cell]  4 Mn 2.64, 4 Sc 2.68, 1 Pd 2.88